A plane-wave DFT calculation with PBEsol was carried out for a relaxed structure of NiGeBH2.

N(E_F)	1.54	states/eV/f.u.
uncorrected energy	-21.71	eV per cell
symmetry	No. 123
V	9.5	Å³ per atom

a = 3.1211 Å, b = 3.1211 Å, c = 4.8613 Å
α = 90.00°, β = 90.00°, γ = 90.00°
Last column: nearest neighbours and their distance in Å.
Atoms (fractional coordinates):
Ni 0.0000 0.0000 0.0000  4 H 1.56
Ge 0.0000 0.0000 0.5000  4 B 2.21, 2 Ni 2.43
B 0.5000 0.5000 0.5000  4 Ge 2.21
H 0.0000 0.5000 0.0000  2 Ni 1.56
H 0.5000 0.0000 0.0000  2 Ni 1.56